## CeHfCrO6 (PBE with a Hubbard U)

Data for an optimized crystal structure of CeHfCrO6.

Unit cell a=4.838 b=4.838 c=9.826 alpha=90.00 beta=90.00 gamma=90.00
Fractional coordinates of all 18 atoms:
1 Ce 0.000 0.000 0.000
2 Ce 0.500 0.500 0.500
3 Hf 0.000 0.000 0.338
4 Hf 0.500 0.500 0.838
5 Cr 0.000 0.000 0.671
6 Cr 0.500 0.500 0.171
7 O 0.179 0.179 0.511
8 O 0.198 0.198 0.818
9 O 0.216 0.216 0.183
10 O 0.284 0.716 0.683
11 O 0.302 0.698 0.318
12 O 0.321 0.679 0.011
13 O 0.679 0.321 0.011
14 O 0.698 0.302 0.318
15 O 0.716 0.284 0.683
16 O 0.784 0.784 0.183
17 O 0.802 0.802 0.818
18 O 0.821 0.821 0.511

Computed properties:
energy	-77.7	eV per formula unit